An optimized crystal structure of CeMn2CdO6. Source: Alexandria via LeMat-Bulk, functional PBE+U.

a b c (Å): 5.533 5.502 5.789
angles (deg): 59.08 59.11 59.95
Site moments in Bohr magnetons follow the coordinates.
Fractional coordinates of all 10 atoms:
Ce 0.297 0.292 0.116  0.14
Mn 0.518 0.513 0.449  3.96
Mn 0.014 0.015 0.952  3.91
Cd 0.789 0.788 0.633  0.01
O 0.668 0.240 0.206  -0.02
O 0.261 0.857 0.239  -0.02
O 0.869 0.660 0.219  -0.06
O 0.352 0.752 0.748  -0.03
O 0.730 0.181 0.715  -0.04
O 0.164 0.363 0.738  -0.06

Summary:
The value obtained for the raw total energy is -0.261 Ha/atom. As for the crystal system: triclinic. The value obtained for the volume is 12.3 Å³/atom.

---

An optimized crystal structure of CeMnCd2O6. Source: Alexandria via LeMat-Bulk, functional PBE+U.

a b c (Å): 5.542 5.691 8.059
angles (deg): 90.00 90.35 90.00
Site moments in Bohr magnetons follow the coordinates.
Fractional coordinates of all 20 atoms:
Ce 0.500 0.000 0.000  0.01
Ce 0.000 0.500 0.500  0.01
Mn 0.500 0.000 0.500  3.19
Mn 0.000 0.500 0.000  3.19
Cd 0.010 0.957 0.253  0.01
Cd 0.510 0.543 0.753  0.01
Cd 0.990 0.043 0.747  0.01
Cd 0.490 0.457 0.247  0.01
O 0.287 0.680 0.052  -0.05
O 0.787 0.820 0.552  -0.05
O 0.713 0.320 0.948  -0.05
O 0.213 0.180 0.448  -0.05
O 0.328 0.715 0.434  -0.06
O 0.828 0.785 0.934  -0.06
O 0.672 0.285 0.566  -0.06
O 0.172 0.215 0.066  -0.06
O 0.890 0.557 0.228  -0.06
O 0.390 0.943 0.728  -0.06
O 0.110 0.443 0.772  -0.06
O 0.610 0.057 0.272  -0.06

Summary:
The value obtained for the raw total energy is -0.231 Ha/atom. As for the crystal system: monoclinic. The value obtained for the volume is 12.7 Å³/atom.